(1)
First-principles (SCAN) data for a crystal of NbP2ICl relaxed with PBEsol, as listed in Alexandria.

Computed properties:
Its space group is No. 123. The density of states at the Fermi level is 3.08 states/eV per cell. The value obtained for the raw formation energy is 95 meV per atom.

Cell: 4.7491 4.9009 4.9009 Å, 90.00 90.00 90.00°
Fractional positions:
Nb: 0.0000 0.0000 0.0000
Cl: 0.5000 0.0000 0.0000
I: 0.5000 0.5000 0.5000
P: 0.0000 0.0000 0.5000
P: 0.0000 0.5000 0.0000



(2)
First-principles (SCAN) data for a crystal of RbNaBeP2 relaxed with PBEsol, as listed in Alexandria.

Computed properties:
Its space group is No. 123. The density of states at the Fermi level is 0.93 states/eV per cell.

Cell: 4.4392 4.4392 5.3167 Å, 90.00 90.00 90.00°
Fractional positions:
Na: 0.5000 0.5000 0.5000
Be: 0.0000 0.0000 0.0000
Rb: 0.0000 0.0000 0.5000
P: 0.5000 0.0000 0.0000
P: 0.0000 0.5000 0.0000



(3)
First-principles (SCAN) data for a crystal of BiPdSeN2 relaxed with PBEsol, as listed in Alexandria.

Computed properties:
Its space group is No. 123. The density of states at the Fermi level is 2.03 states/eV per cell. The value obtained for the raw formation energy is 1175 meV per atom.

Cell: 4.0609 4.0609 5.0192 Å, 90.00 90.00 90.00°
Site moments in Bohr magnetons follow the coordinates.
Fractional positions:
N: 0.0000 0.5000 0.0000  0.91
N: 0.5000 0.0000 0.0000  0.91
Bi: 0.5000 0.5000 0.5000  -0.31
Pd: 0.0000 0.0000 0.0000  0.28
Se: 0.0000 0.0000 0.5000  0.10



(4)
First-principles (SCAN) data for a crystal of RbGe3C relaxed with PBEsol, as listed in Alexandria.

Computed properties:
Its space group is No. 221. The density of states at the Fermi level is 4.05 states/eV per cell.

Cell: 5.5580 5.5580 5.5580 Å, 90.00 90.00 90.00°
Site moments in Bohr magnetons follow the coordinates.
Fractional positions:
Ge: 0.0000 0.0000 0.5000  -0.26
Rb: 0.0000 0.0000 0.0000  -0.10
Ge: 0.0000 0.5000 0.0000  -0.26
C: 0.5000 0.5000 0.5000  0.91
Ge: 0.5000 0.0000 0.0000  -0.26



(5)
First-principles (SCAN) data for a crystal of LiHg2Ru relaxed with PBEsol, as listed in Alexandria.

Computed properties:
Its space group is No. 12. The calculation puts the excess energy over the best structure of this formula in the dataset at 237.4 meV per atom. The density of states at the Fermi level is 2.64 states/eV per cell.

Cell: 2.7808 4.7121 5.5479 Å, 96.80 90.00 107.16°
Fractional positions:
Ru: 0.5000 0.0000 0.0000
Hg: 0.7545 0.5089 0.7504
Hg: 0.2455 0.4911 0.2496
Li: 0.0000 0.0000 0.5000



(6)
First-principles (SCAN) data for a crystal of Li2VBPO7 relaxed with PBEsol, as listed in Alexandria.

Computed properties:
Its space group is No. 11. The value obtained for the raw formation energy is -2511 meV per atom.

Cell: 5.1719 6.0947 8.7003 Å, 90.00 93.08 90.00°
Site moments in Bohr magnetons follow the coordinates.
Fractional positions:
O: 0.0416 0.7500 0.8281  0.00
O: 0.2987 0.0515 0.6592  -0.03
Li: 0.2447 0.4735 0.1931  0.00
O: 0.2987 0.4485 0.6592  -0.03
B: 0.7562 0.2500 0.0533  0.01
P: 0.7888 0.7500 0.4420  0.01
V: 0.7050 0.2500 0.3235  1.01
P: 0.2112 0.2500 0.5580  0.01
O: 0.4802 0.7500 0.8689  -0.01
O: 0.2177 0.7500 0.0963  -0.01
Li: 0.7553 0.9735 0.8069  0.00
O: 0.7823 0.2500 0.9037  -0.01
Li: 0.7553 0.5265 0.8069  0.00
O: 0.5198 0.2500 0.1311  -0.01
O: 0.7013 0.5515 0.3408  -0.03
O: 0.0825 0.7500 0.4723  0.00
O: 0.7013 0.9485 0.3408  -0.03
B: 0.2438 0.7500 0.9467  0.01
O: 0.9175 0.2500 0.5277  0.00
O: 0.6513 0.7500 0.5939  0.00
V: 0.2950 0.7500 0.6765  1.01
Li: 0.2447 0.0265 0.1931  0.00
O: 0.9584 0.2500 0.1719  0.00
O: 0.3487 0.2500 0.4061  0.00



(7)
First-principles (SCAN) data for a crystal of K4TlIn relaxed with PBEsol, as listed in Alexandria.

Computed properties:
Its space group is No. 216. The density of states at the Fermi level is 3.86 states/eV per cell.

Cell: 7.0442 7.0442 7.0442 Å, 60.00 60.00 60.00°
Fractional positions:
Tl: 0.7500 0.7500 0.7500
K: 0.3748 0.3748 0.3748
K: 0.3748 0.3748 0.8756
K: 0.8756 0.3748 0.3748
K: 0.3748 0.8756 0.3748
In: 0.0000 0.0000 0.0000



(8)
First-principles (SCAN) data for a crystal of GaC2S relaxed with PBEsol, as listed in Alexandria.

Computed properties:
Its space group is No. 225. The density of states at the Fermi level is 2.40 states/eV per cell. The value obtained for the raw formation energy is 2594 meV per atom.

Cell: 3.9177 3.9177 3.9177 Å, 60.00 60.00 60.00°
Fractional positions:
S: 0.0000 0.0000 0.0000
C: 0.2500 0.2500 0.2500
C: 0.7500 0.7500 0.7500
Ga: 0.5000 0.5000 0.5000



(9)
First-principles (SCAN) data for a crystal of CaOsPt2 relaxed with PBEsol, as listed in Alexandria.

Computed properties:
Its space group is No. 216. The calculation puts the excess energy over the best structure of this formula in the dataset at 438.3 meV per atom. The density of states at the Fermi level is 0.63 states/eV per cell.

Cell: 4.5409 4.5409 4.5409 Å, 60.00 60.00 60.00°
Site moments in Bohr magnetons follow the coordinates.
Fractional positions:
Pt: 0.7500 0.7500 0.7500  0.09
Os: 0.2500 0.2500 0.2500  1.50
Pt: 0.0000 0.0000 0.0000  0.38
Ca: 0.5000 0.5000 0.5000  0.00



(10)
First-principles (SCAN) data for a crystal of ZnFeCu2 relaxed with PBEsol, as listed in Alexandria.

Computed properties:
Its space group is No. 71. The density of states at the Fermi level is 2.24 states/eV per cell.

Cell: 2.6192 4.2428 4.9183 Å, 115.55 105.44 90.00°
Site moments in Bohr magnetons follow the coordinates.
Fractional positions:
Cu: 0.7492 0.7492 0.4983  0.04
Cu: 0.2508 0.2508 0.5017  0.04
Fe: 0.5000 0.0000 0.0000  2.78
Zn: 0.0000 0.5000 0.0000  -0.07



(11)
First-principles (SCAN) data for a crystal of TlHgCl3 relaxed with PBEsol, as listed in Alexandria.

Computed properties:
Its space group is No. 221. The density of states at the Fermi level is 0.70 states/eV per cell. The value obtained for the raw formation energy is -770 meV per atom.

Cell: 5.1945 5.1945 5.1945 Å, 90.00 90.00 90.00°
Fractional positions:
Hg: 0.0000 0.0000 0.0000
Tl: 0.5000 0.5000 0.5000
Cl: 0.0000 0.0000 0.5000
Cl: 0.5000 0.0000 0.0000
Cl: 0.0000 0.5000 0.0000



(12)
First-principles (SCAN) data for a crystal of Cd3BrF relaxed with PBEsol, as listed in Alexandria.

Computed properties:
Its space group is No. 221. The density of states at the Fermi level is 3.54 states/eV per cell. The value obtained for the raw formation energy is -363 meV per atom.

Cell: 4.8988 4.8988 4.8988 Å, 90.00 90.00 90.00°
Fractional positions:
Cd: 0.0000 0.0000 0.5000
Cd: 0.0000 0.5000 0.0000
Cd: 0.5000 0.0000 0.0000
F: 0.0000 0.0000 0.0000
Br: 0.5000 0.5000 0.5000



(13)
First-principles (SCAN) data for a crystal of Cr2IrRh relaxed with PBEsol, as listed in Alexandria.

Computed properties:
Its space group is No. 139. The density of states at the Fermi level is 2.71 states/eV per cell.

Cell: 3.7141 3.7141 4.4857 Å, 114.46 114.46 90.00°
Fractional positions:
Cr: 0.2500 0.7500 0.5000
Ir: 0.0000 0.0000 0.0000
Cr: 0.7500 0.2500 0.5000
Rh: 0.5000 0.5000 0.0000



(14)
First-principles (SCAN) data for a crystal of Ba2CaTiPd relaxed with PBEsol, as listed in Alexandria.

Computed properties:
Its space group is No. 123. The density of states at the Fermi level is 5.33 states/eV per cell.

Cell: 5.4822 5.7484 5.7484 Å, 90.00 90.00 90.00°
Site moments in Bohr magnetons follow the coordinates.
Fractional positions:
Ba: 0.0000 0.5000 0.0000  0.22
Pd: 0.5000 0.5000 0.5000  0.06
Ca: 0.5000 0.0000 0.0000  0.14
Ti: 0.0000 0.0000 0.0000  2.04
Ba: 0.0000 0.0000 0.5000  0.22



(15)
First-principles (SCAN) data for a crystal of Rb2Ca2Si3O9 relaxed with PBEsol, as listed in Alexandria.

Computed properties:
Its space group is No. 7. The density of states at the Fermi level is 0.00 states/eV per cell. The value obtained for the raw formation energy is -3024 meV per atom.

Cell: 6.6033 7.3917 10.5865 Å, 90.00 93.84 90.00°
Fractional positions:
O: 0.9951 0.0026 0.7323
O: 0.1214 0.9691 0.1093
Si: 0.2927 0.5854 0.4065
O: 0.2230 0.7392 0.2969
Si: 0.0221 0.2571 0.4517
Rb: 0.7866 0.5899 0.2266
Rb: 0.2866 0.4101 0.7266
O: 0.3423 0.6762 0.5436
Si: 0.3096 0.8654 0.1836
Si: 0.5221 0.7429 0.9517
O: 0.8423 0.3238 0.0436
O: 0.5750 0.5304 0.9125
Si: 0.7927 0.4146 0.9065
Si: 0.8096 0.1346 0.6836
O: 0.6214 0.0309 0.6093
O: 0.4951 0.9974 0.2323
O: 0.4704 0.4568 0.3590
O: 0.2276 0.1490 0.4928
O: 0.9704 0.5432 0.8590
Ca: 0.5418 0.1666 0.4136
Ca: 0.0418 0.8334 0.9136
O: 0.3668 0.8241 0.8423
O: 0.3907 0.7125 0.0809
Rb: 0.2745 0.3398 0.1023
O: 0.7276 0.8510 0.9928
O: 0.8668 0.1759 0.3423
O: 0.7230 0.2608 0.7969
O: 0.8907 0.2875 0.5809
Ca: 0.3052 0.9337 0.6446
Rb: 0.7745 0.6602 0.6023
Ca: 0.8052 0.0663 0.1446
O: 0.0750 0.4696 0.4125



(16)
First-principles (SCAN) data for a crystal of Cr5C relaxed with PBEsol, as listed in Alexandria.

Computed properties:
Its space group is No. 123. The density of states at the Fermi level is 5.77 states/eV per cell.

Cell: 2.7887 2.7887 7.7320 Å, 90.00 90.00 90.00°
Fractional positions:
Cr: 0.5000 0.5000 0.6787
Cr: 0.0000 0.0000 0.5000
Cr: 0.0000 0.0000 0.8628
C: 0.5000 0.5000 0.0000
Cr: 0.5000 0.5000 0.3213
Cr: 0.0000 0.0000 0.1372



(17)
First-principles (SCAN) data for a crystal of In2RuCl relaxed with PBEsol, as listed in Alexandria.

Computed properties:
Its space group is No. 99. The calculation puts the excess energy over the best structure of this formula in the dataset at 0.0 meV per atom. The density of states at the Fermi level is 1.00 states/eV per cell. The value obtained for the raw formation energy is -46 meV per atom.

Cell: 2.9824 4.9748 4.9748 Å, 90.00 90.00 90.00°
Site moments in Bohr magnetons follow the coordinates.
Fractional positions:
Ru: 0.6192 0.5000 0.5000  0.84
Cl: 0.6210 0.0000 0.0000  0.00
In: 0.1195 0.0000 0.5000  -0.03
In: 0.1195 0.5000 0.0000  -0.03



(18)
First-principles (SCAN) data for a crystal of Be2AuBr relaxed with PBEsol, as listed in Alexandria.

Computed properties:
Its space group is No. 12. The calculation puts the excess energy over the best structure of this formula in the dataset at 0.0 meV per atom. The density of states at the Fermi level is 0.82 states/eV per cell. The value obtained for the raw formation energy is -282 meV per atom.

Cell: 3.5202 4.1161 5.9038 Å, 75.44 72.65 64.68°
Fractional positions:
Au: 0.0000 0.0000 0.0000
Br: 0.5000 0.5000 0.5000
Be: 0.6500 0.5888 0.1112
Be: 0.3500 0.4112 0.8888



(19)
First-principles (SCAN) data for a crystal of MgHg2Bi relaxed with PBEsol, as listed in Alexandria.

Computed properties:
Its space group is No. 122. The density of states at the Fermi level is 3.76 states/eV per cell.

Cell: 4.3161 4.3161 11.3785 Å, 100.93 100.93 90.00°
Fractional positions:
Hg: 0.1250 0.1374 0.7500
Hg: 0.8626 0.3750 0.2500
Bi: 0.2500 0.7500 0.5000
Mg: 0.5000 0.5000 0.0000
Hg: 0.6250 0.6126 0.7500
Mg: 0.7500 0.2500 0.5000
Hg: 0.3874 0.8750 0.2500
Bi: 0.0000 0.0000 0.0000



(20)
First-principles (SCAN) data for a crystal of TaTi2GaRe relaxed with PBEsol, as listed in Alexandria.

Computed properties:
Its space group is No. 123. The density of states at the Fermi level is 5.67 states/eV per cell.

Cell: 4.7057 4.6989 4.6989 Å, 90.00 90.00 90.00°
Fractional positions:
Ti: 0.0000 0.5000 0.0000
Re: 0.5000 0.0000 0.0000
Ti: 0.0000 0.0000 0.5000
Ga: 0.5000 0.5000 0.5000
Ta: 0.0000 0.0000 0.0000



(21)
First-principles (SCAN) data for a crystal of Si2Os relaxed with PBEsol, as listed in Alexandria.

Computed properties:
Its space group is No. 141. The density of states at the Fermi level is 3.61 states/eV per cell. The value obtained for the raw formation energy is -62 meV per atom.

Cell: 2.8655 2.8655 10.4856 Å, 97.85 97.85 90.00°
Fractional positions:
Si: 0.1768 0.6768 0.3535
Si: 0.3232 0.8232 0.6465
Os: 0.7500 0.2500 0.5000
Os: 0.5000 0.5000 0.0000
Si: 0.0732 0.0732 0.1465
Si: 0.9268 0.9268 0.8535



(22)
First-principles (SCAN) data for a crystal of SbSeS2N relaxed with PBEsol, as listed in Alexandria.

Computed properties:
Its space group is No. 123. The calculation puts the excess energy over the best structure of this formula in the dataset at 0.0 meV per atom. The density of states at the Fermi level is 2.66 states/eV per cell. The value obtained for the raw formation energy is 905 meV per atom.

Cell: 3.6776 4.8892 4.8892 Å, 90.00 90.00 90.00°
Fractional positions:
Se: 0.0000 0.0000 0.0000
S: 0.0000 0.5000 0.0000
N: 0.5000 0.0000 0.0000
S: 0.0000 0.0000 0.5000
Sb: 0.5000 0.5000 0.5000



(23)
First-principles (SCAN) data for a crystal of La2Cu2O5 relaxed with PBEsol, as listed in Alexandria.

Computed properties:
Its space group is No. 46. The calculation puts the excess energy over the best structure of this formula in the dataset at 59.3 meV per atom. The density of states at the Fermi level is 2.84 states/eV per cell. The value obtained for the raw formation energy is -2371 meV per atom.

Cell: 5.2861 5.4040 8.8949 Å, 107.68 107.29 90.00°
Site moments in Bohr magnetons follow the coordinates.
Fractional positions:
O: 0.2517 0.7623 0.0180  -0.02
O: 0.6129 0.5905 0.2723  0.05
O: 0.3406 0.4095 0.7277  0.05
Cu: 0.9897 0.0000 0.0000  -0.12
La: 0.6051 0.1210 0.2274  0.00
O: 0.7338 0.2443 0.9820  -0.02
La: 0.3777 0.8790 0.7726  0.00
O: 0.7517 0.7557 0.0180  -0.02
O: 0.1556 0.8461 0.5000  0.12
O: 0.2338 0.2377 0.9820  -0.02
Cu: 0.4897 0.5000 0.0000  -0.12
O: 0.1129 0.1818 0.2723  0.05
Cu: 0.2689 0.2190 0.5000  0.50
La: 0.1051 0.6064 0.2274  0.00
O: 0.8406 0.8182 0.7277  0.05
Cu: 0.7689 0.7810 0.5000  0.50
La: 0.8777 0.3936 0.7726  0.00
O: 0.6556 0.1539 0.5000  0.12



(24)
First-principles (SCAN) data for a crystal of TeIrSe relaxed with PBEsol, as listed in Alexandria.

Computed properties:
Its space group is No. 156. The calculation puts the excess energy over the best structure of this formula in the dataset at 0.0 meV per atom. The density of states at the Fermi level is 1.97 states/eV per cell. The value obtained for the raw formation energy is -317 meV per atom.

Cell: 3.8042 3.8042 5.1329 Å, 90.00 90.00 120.00°
Fractional positions:
Se: 0.6667 0.3333 0.7477
Te: 0.3333 0.6667 0.2651
Ir: 0.0000 0.0000 0.9872



(25)
First-principles (SCAN) data for a crystal of TiTl3Sn relaxed with PBEsol, as listed in Alexandria.

Computed properties:
Its space group is No. 221. The density of states at the Fermi level is 3.54 states/eV per cell.

Cell: 5.5710 5.5710 5.5710 Å, 90.00 90.00 90.00°
Site moments in Bohr magnetons follow the coordinates.
Fractional positions:
Ti: 0.5000 0.5000 0.5000  2.15
Sn: 0.0000 0.0000 0.0000  0.01
Tl: 0.5000 0.0000 0.0000  -0.01
Tl: 0.0000 0.5000 0.0000  -0.01
Tl: 0.0000 0.0000 0.5000  -0.01



(26)
First-principles (SCAN) data for a crystal of SrZr2Sb relaxed with PBEsol, as listed in Alexandria.

Computed properties:
Its space group is No. 166. The density of states at the Fermi level is 4.45 states/eV per cell. The value obtained for the raw formation energy is 205 meV per atom.

Cell: 3.3931 3.3931 10.6927 Å, 80.87 80.87 60.00°
Fractional positions:
Sb: 0.5000 0.5000 0.5000
Zr: 0.2385 0.2385 0.2845
Zr: 0.7615 0.7615 0.7155
Sr: 0.0000 0.0000 0.0000



Respective volume values: 22.81, 20.95, 16.55, 34.34, 17.23, 11.41, 41.19, 10.63, 16.55, 11.78, 28.03, 23.51, 12.54, 36.23, 16.11, 10.02, 18.45, 18.26, 25.52, 20.78, 14.08, 17.58, 12.78, 21.44, 34.58, 26.20 Å³/atom.
Respective E values: -19.635, -9.805, -28.828, -14.410, -43.122, -9.487, -22.955, -8.950, -55.199, -15.430, -33.662, -23.211, -35.580, -26.641, -12.208, -16.691, -27.441, -24.613, -55.026, -35.893, -30.699, -16.272, -18.790, -43.127, -52.949, -30.028 eV per atom.